Material: BaPrDyTiO6
Method: DFT, PBE
State: optimized geometry

Results
Total moment in μB per formula unit: 0.0
Formation energy (no corrections) in meV per atom: -3087

a = 8.327 Å, b = 8.327 Å, c = 8.327 Å
α = 90.00°, β = 90.00°, γ = 90.00°
Space group F-43m (No. 216)
Inequivalent atoms, fractional coordinates:
Ba 0.000 0.000 0.000 [4 per cell]
Pr 0.000 0.000 0.500 [4 per cell]
Dy 0.250 0.250 0.750 [4 per cell]
Ti 0.250 0.250 0.250 [4 per cell]
O 0.014 0.250 0.250 [24 per cell]

Material: Pm2Y5Er2
Method: DFT, PBE
State: optimized geometry

Results
Total moment in μB per formula unit: 0.0
Energy relative to the elements in eV per atom: 0.0955

a = 3.522 Å, b = 6.132 Å, c = 14.466 Å
α = 94.28°, β = 96.85°, γ = 106.62°
Space group P-1 (No. 2)
Inequivalent atoms, fractional coordinates:
Pm 0.013 0.361 0.166 [2 per cell]
Y 0.302 0.490 0.615 [2 per cell]
Y 0.331 0.217 0.945 [2 per cell]
Y 0.500 0.000 0.500 [1 per cell]
Er 0.343 0.925 0.265 [2 per cell]

Material: Mg2Tl3Ga9
Method: DFT, PBE
State: optimized geometry

Results
Total moment in μB per formula unit: 0.0
Energy relative to the elements in eV per atom: -0.0131

a = 4.554 Å, b = 10.037 Å, c = 13.441 Å
α = 90.00°, β = 90.00°, γ = 90.00°
Space group Immm (No. 71)
Inequivalent atoms, fractional coordinates:
Mg 0.000 0.178 0.000 [4 per cell]
Tl 0.000 0.000 0.204 [4 per cell]
Tl 0.000 0.000 0.500 [2 per cell]
Ga 0.000 0.282 0.358 [8 per cell]
Ga 0.000 0.366 0.162 [8 per cell]
Ga 0.000 0.500 0.500 [2 per cell]

Material: AgTePb
Method: DFT, PBE
State: optimized geometry

Results
Total moment in μB per formula unit: 0.0
Formation energy (no corrections) in meV per atom: -37

a = 7.082 Å, b = 7.082 Å, c = 7.082 Å
α = 90.00°, β = 90.00°, γ = 90.00°
Space group F-43m (No. 216)
Inequivalent atoms, fractional coordinates:
Ag 0.000 0.000 0.000 [4 per cell]
Te 0.250 0.250 0.750 [4 per cell]
Pb 0.250 0.250 0.250 [4 per cell]

Material: NaPuAuBr6
Method: DFT, PBE
State: optimized geometry

Results
Total moment in μB per formula unit: 4.0
Formation energy (no corrections) in meV per atom: -1007

a = 7.1878 Å, b = 7.1878 Å, c = 12.7203 Å
α = 90.00°, β = 90.00°, γ = 120.00°
Space group P-31c (No. 163)
Inequivalent atoms, fractional coordinates:
Na 0.3333 0.6667 0.2500 [2 per cell]
Pu 0.3333 0.6667 0.7500 [2 per cell]
Au 0.0000 0.0000 0.0000 [2 per cell]
Br 0.0220 0.3436 0.6233 [12 per cell]

Material: KAs4Pd4
Method: DFT, PBE
State: optimized geometry

Results
Total moment in μB per formula unit: 0.0
Energy relative to the elements in eV per atom: -0.2916

a = 8.775 Å, b = 8.775 Å, c = 4.606 Å
α = 90.00°, β = 90.00°, γ = 90.00°
Space group I4/m (No. 87)
Inequivalent atoms, fractional coordinates:
K 0.000 0.000 0.000 [2 per cell]
As 0.137 0.264 0.500 [8 per cell]
Pd 0.084 0.367 0.000 [8 per cell]